#w
Compound: TbUAs2
Source: the Alexandria database
Functional: PBE-GGA
Structure: relaxed

Output
Symmetry: I4_1/amd
Fermi-level density of states (states/eV per cell): 16.61

Lattice parameters (Å, degrees): 7.113 7.113 7.113 131.81 131.81 70.52
Element x y z (fractional)
Tb 0.375 0.625 0.750
Tb 0.625 0.375 0.250
U 0.125 0.875 0.250
U 0.875 0.125 0.750
As 0.122 0.372 0.750
As 0.372 0.122 0.250
As 0.628 0.878 0.750
As 0.878 0.628 0.250


#x
Compound: TbUAs2
Source: the Alexandria database
Functional: PBE-GGA
Structure: relaxed

Output
Symmetry: R3m
Fermi-level density of states (states/eV per cell): 4.80

Lattice parameters (Å, degrees): 7.471 7.471 7.471 31.36 31.36 31.36
Element x y z (fractional)
Tb 0.000 0.000 0.000
U 0.172 0.172 0.172
As 0.585 0.585 0.585
As 0.756 0.756 0.756


Short version: #x is the least stable of them.


#w
Compound: Tc5As
Source: the Alexandria database
Functional: PBE-GGA
Structure: relaxed

Output
Symmetry: P4/mmm
Fermi-level density of states (states/eV per cell): 5.22

Lattice parameters (Å, degrees): 2.915 2.915 10.289 90.00 90.00 90.00
Element x y z (fractional)
Tc 0.000 0.000 0.000
Tc 0.000 0.000 0.345
Tc 0.000 0.000 0.655
Tc 0.500 0.500 0.174
Tc 0.500 0.500 0.826
As 0.500 0.500 0.500


#x
Compound: Tc5As
Source: the Alexandria database
Functional: PBE-GGA
Structure: relaxed

Output
Symmetry: Cmmm
Fermi-level density of states (states/eV per cell): 6.90

Lattice parameters (Å, degrees): 6.046 6.046 3.948 90.00 90.00 142.33
Element x y z (fractional)
Tc 0.000 0.000 0.000
Tc 0.175 0.825 0.500
Tc 0.332 0.668 0.000
Tc 0.668 0.332 0.000
Tc 0.825 0.175 0.500
As 0.500 0.500 0.500


#y
Compound: Tc5As
Source: the Alexandria database
Functional: PBE-GGA
Structure: relaxed

Output
Symmetry: Cm
Fermi-level density of states (states/eV per cell): 4.83

Lattice parameters (Å, degrees): 5.212 5.212 6.428 105.07 105.07 31.73
Element x y z (fractional)
Tc 0.000 0.000 0.000
Tc 0.050 0.050 0.631
Tc 0.331 0.331 0.682
Tc 0.414 0.414 0.282
Tc 0.725 0.725 0.973
As 0.687 0.687 0.358


Short version: #x is the least stable of them.